First-principles (PBE-GGA) data for a geometry-optimized MgScBiS2 structure, as listed in the Alexandria database.

Results
Formation energy without anion corrections: -0.10 eV per atom
Total energy: -4.110 eV/atom
Fermi-level density of states: 3.029 states/eV/f.u.
Spin magnetization: 0.00 Bohr magnetons per cell

Lattice parameters (Å, degrees): 4.680 4.680 5.716 90.00 90.00 90.00
Space group P4/mmm (No. 123)
Unique sites:
Mg1 0.000 0.000 0.000 [1 per cell]
Sc1 0.500 0.500 0.500 [1 per cell]
Bi1 0.000 0.000 0.500 [1 per cell]
S1 0.000 0.500 0.000 [2 per cell]